{
  "formula": "Mn2BrClO",
  "functional": "PBE+U",
  "state": "optimized geometry",
  "total_energy_ev_per_cell": -59.59,
  "space_group": "C2/m (12)",
  "lattice": [[3.6155, 0.0000, 0.0000], [1.8077, 8.0330, 0.1763], [1.8077, 1.6219, 8.1620]],
  "species": ["Br", "Br", "Mn", "Mn", "Mn", "Mn", "Cl", "Cl", "O", "O"],
  "frac_coords": [[0.8338, 0.7754, 0.5571], [0.1662, 0.2246, 0.4429], [0.9152, 0.1886, 0.9809], [0.3684, 0.9402, 0.3229], [0.6316, 0.0598, 0.6771], [0.0848, 0.8114, 0.0191], [0.3828, 0.3728, 0.8616], [0.6172, 0.6272, 0.1384], [0.9178, 0.9868, 0.1775], [0.0822, 0.0132, 0.8225]]
}